Entry 1:
## La5Nd2Tm (PBE)

Data for an optimized crystal structure of La5Nd2Tm.

a = 6.7351 Å, b = 6.7351 Å, c = 16.6594 Å
α = 90.00°, β = 90.00°, γ = 129.49°
Sites, in units of the cell vectors:
1 La 0.0333 0.9667 0.7500
2 La 0.1136 0.8864 0.0532
3 La 0.1136 0.8864 0.4468
4 La 0.4224 0.5776 0.0934
5 La 0.4224 0.5776 0.4066
6 La 0.5776 0.4224 0.5934
7 La 0.5776 0.4224 0.9066
8 La 0.8864 0.1136 0.5532
9 La 0.8864 0.1136 0.9468
10 La 0.9667 0.0333 0.2500
11 Nd 0.2760 0.7240 0.6344
12 Nd 0.2760 0.7240 0.8656
13 Nd 0.7240 0.2760 0.1344
14 Nd 0.7240 0.2760 0.3656
15 Tm 0.2487 0.7513 0.2500
16 Tm 0.7513 0.2487 0.7500

Calculated values
- electronic total energy (eV per cell) = -75.61
- SG = Cmcm, No. 63
- energy of formation from the pure elements (eV/atom) = 0.105
- crystal system = orthorhombic

=====

Entry 2:
## TbPm6Dy4 (PBE)

Data for an optimized crystal structure of TbPm6Dy4.

a = 9.7661 Å, b = 9.7661 Å, c = 9.7661 Å
α = 140.08°, β = 140.08°, γ = 57.73°
Sites, in units of the cell vectors:
1 Tb 0.0000 0.0000 0.0000
2 Pm 0.0000 0.5000 0.5000
3 Pm 0.0132 0.6345 0.0000
4 Pm 0.3655 0.3655 0.3788
5 Pm 0.5000 0.0000 0.5000
6 Pm 0.6345 0.0132 0.0000
7 Pm 0.9868 0.9868 0.6212
8 Dy 0.1945 0.1945 0.6418
9 Dy 0.4473 0.8055 0.0000
10 Dy 0.5527 0.5527 0.3582
11 Dy 0.8055 0.4473 0.0000

Calculated values
- electronic total energy (eV per cell) = -48.21
- SG = I-42m, No. 121
- energy of formation from the pure elements (eV/atom) = 0.303
- crystal system = tetragonal

=====

Q: Which formula does entry 2 have?
A: TbPm6Dy4

=====

Q: electronic total energy of number 1 (La5Nd2Tm)?
A: -75.61 eV per cell

=====

Q: What is the formula in the second record?
A: TbPm6Dy4

=====

Q: Among the records above, which one has the lowest energy of formation from the pure elements?
A: La5Nd2Tm